1.
Below is a geometry-optimized VSiS structure, with properties calculated at the PBE level.

Structure (extended XYZ):
```
12
Lattice="8.3639 0.0000 0.0000 0.0000 3.4078 0.0000 -1.4110 0.0000 6.6715" Properties=species:S:1:pos:R:3 pbc="T T T"
V 0.0000 0.0000 0.0000
V 1.5753 1.7039 2.0104
V 4.1820 1.7039 0.0000
V 5.7573 0.0000 2.0104
Si 0.1530 0.0000 2.9701
Si 3.3005 0.0000 1.4816
Si 4.3349 1.7039 2.9701
Si 7.4825 1.7039 1.4816
S 0.2749 1.7039 6.3749
S 2.6144 1.7039 4.2095
S 4.4568 0.0000 6.3749
S 6.7964 0.0000 4.2095
```

The calculated total energy comes out at -6.636 eV/atom. The value obtained for the energy relative to the elements, uncorrected is -413 meV per atom.


2.
Below is a geometry-optimized AlB3Mo structure, with properties calculated at the PBE level.

Structure (extended XYZ):
```
5
Lattice="4.1685 0.0000 0.0000 0.0000 4.1685 0.0000 0.0000 0.0000 4.1685" Properties=species:S:1:pos:R:3 pbc="T T T"
Al 0.0000 0.0000 0.0000
B 0.0000 2.0843 2.0843
B 2.0843 0.0000 2.0843
B 2.0843 2.0843 0.0000
Mo 2.0843 2.0843 2.0843
```

The calculated total energy comes out at -5.613 eV/atom. The energy relative to the elements comes out at 631.3 kJ/mol of formula units. As for the distance to the lowest polymorph of the same formula: 0.0 meV per atom.


3.
Below is a geometry-optimized Mn5GePd8 structure, with properties calculated at the PBE level.

Structure (extended XYZ):
```
14
Lattice="-3.7051 3.7051 4.0977 3.7051 -3.7051 4.0977 3.7051 3.7051 -4.0977" Properties=species:S:1:pos:R:3 pbc="T T T"
Mn 0.0000 0.0000 0.0000
Mn 4.6528 2.0149 -0.5834
Mn 2.0149 2.7573 0.5834
Mn -0.9477 1.6902 3.5143
Mn 1.6902 0.9477 4.6811
Ge 3.7051 0.0000 2.0489
Pd 2.3605 3.1958 -2.0075
Pd 1.3446 0.5093 2.0902
Pd -0.5811 2.3953 0.9438
Pd 4.2144 2.3605 2.0075
Pd 0.5811 5.0149 0.9438
Pd 1.3098 3.1240 3.1539
Pd -0.5093 1.3446 6.1052
Pd -1.3098 4.2862 3.1539
```

The calculated total energy comes out at -6.665 eV/atom. The energy relative to the elements comes out at -126.2 kJ/mol of formula units.


4.
Below is a geometry-optimized KIrRu structure, with properties calculated at the PBE level.

Structure (extended XYZ):
```
12
Lattice="12.1293 0.0000 0.0000 0.0000 5.0978 0.0000 0.0000 0.0000 4.4605" Properties=species:S:1:pos:R:3 pbc="T T T"
K 2.8194 1.2745 0.0163
K 3.2453 3.8234 2.2465
K 8.8840 1.2745 2.2139
K 9.3099 3.8234 4.4442
Ir 0.3313 3.8234 0.0002
Ir 5.7333 1.2745 2.2304
Ir 6.3959 3.8234 2.2300
Ir 11.7980 1.2745 4.4603
Ru 0.0000 0.0000 2.2302
Ru 0.0000 2.5489 2.2302
Ru 6.0646 0.0000 0.0000
Ru 6.0646 2.5489 0.0000
```

The calculated total energy comes out at -5.905 eV/atom. The energy relative to the elements comes out at 146.6 kJ/mol of formula units. As for the distance to the lowest polymorph of the same formula: 65.4 meV per atom.